Below is a relaxed structure of Os2NO, with properties calculated at the GGA-PBE level.

calculated volume	11.5	Å³/atom
ΔE_f (raw)	162	kJ/mol of formula units
ΔE to the lowest computed polymorph	0	meV per atom
symmetry	I-42d (122)

a = 3.8436 Å, b = 3.8436 Å, c = 6.7930 Å
α = 73.57°, β = 73.57°, γ = 90.00°
With the nearest neighbours (Å) after each atom.
Atoms (fractional coordinates):
1 O 0.0000 0.0000 0.0000  4 Os 2.08
2 Os 0.6154 0.1250 0.2500  2 N 2.05, 2 O 2.08
3 N 0.5000 0.5000 0.0000  4 Os 2.05
4 Os 0.1346 0.6250 0.2500  2 N 2.05, 2 O 2.08
5 N 0.2500 0.7500 0.5000  4 Os 2.05
6 O 0.7500 0.2500 0.5000  4 Os 2.08
7 Os 0.8750 0.8654 0.7500  2 N 2.05, 2 O 2.08
8 Os 0.3750 0.3846 0.7500  2 N 2.05, 2 O 2.08